PrTlTe2: single point on PBEsol structure, meta-GGA SCAN.

a b c (Å): 4.4941 4.4941 8.4017
angles (deg): 74.49 74.49 60.00
With the nearest neighbours (Å) after each atom.
Sites, in units of the cell vectors:
Pr 0.0000 0.0000 0.0000  6 Te 3.17
Tl 0.5000 0.5000 0.5000  6 Te 3.38
Te 0.7427 0.7427 0.7719  3 Pr 3.17, 3 Tl 3.38
Te 0.2573 0.2573 0.2281  3 Pr 3.17, 3 Tl 3.38

Computed properties:
As for the space group: R-3m. As for the total energy: -48.73 eV/atom. For the uncorrected formation energy, the calculation gives -27.311 kcal/mol of atoms. As for the total magnetization: 0.00 Bohr magnetons per cell.


AgPW2: single point on PBEsol structure, meta-GGA SCAN.

a b c (Å): 2.9248 2.9248 6.8911
angles (deg): 90.00 90.00 90.00
With the nearest neighbours (Å) after each atom.
Sites, in units of the cell vectors:
Ag 0.5000 0.5000 0.0000  8 W 2.90, 4 Ag 2.92
P 0.5000 0.5000 0.5000  8 W 2.51
W 0.0000 0.0000 0.7060  4 P 2.51
W 0.0000 0.0000 0.2940  4 P 2.51

Computed properties:
As for the space group: P4/mmm. As for the total energy: -44.91 eV/atom. The calculation puts the polymorph energy (0 for the lowest one) at 0 meV per atom. The calculation puts the formation energy at 0.380 eV/atom. As for the total magnetization: 0.00 Bohr magnetons per cell.


Co2TcAs: single point on PBEsol structure, meta-GGA SCAN.

a b c (Å): 4.0800 4.0800 4.0800
angles (deg): 60.00 60.00 60.00
With the nearest neighbours (Å) after each atom.
Sites, in units of the cell vectors:
As 0.5000 0.5000 0.5000  4 Co 2.50, 4 Tc 2.50
Co 0.0000 0.0000 0.0000  4 Tc 2.50, 4 Co 2.50
Co 0.7500 0.7500 0.7500  4 As 2.50, 4 Co 2.50
Tc 0.2500 0.2500 0.2500  4 As 2.50, 4 Co 2.50

Computed properties:
As for the space group: F-43m. As for the total energy: -22.40 eV/atom. The calculation puts the formation energy at 0.061 eV/atom. As for the total magnetization: 2.34 Bohr magnetons per cell.


Dy7Co6Sn23: single point on PBEsol structure, meta-GGA SCAN.

a b c (Å): 9.5361 9.5361 9.7779
angles (deg): 90.00 90.00 120.00
With the nearest neighbours (Å) after each atom.
Sites, in units of the cell vectors:
Dy 0.0000 0.0000 0.0000  12 Sn 3.31, 6 Co 3.39
Dy 0.5217 0.0433 0.6934  10 Sn 3.04-3.35, 2 Co 3.12
Dy 0.4783 0.9567 0.3066  10 Sn 3.04-3.35, 2 Co 3.12
Dy 0.5217 0.4783 0.6934  10 Sn 3.04-3.35, 2 Co 3.12
Dy 0.4783 0.5217 0.3066  10 Sn 3.04-3.35, 2 Co 3.12
Dy 0.9567 0.4783 0.6934  10 Sn 3.04-3.35, 2 Co 3.12
Dy 0.0433 0.5217 0.3066  10 Sn 3.04-3.35, 2 Co 3.12
Co 0.1682 0.3364 0.8020  6 Sn 2.55-2.73
Co 0.8318 0.6636 0.1980  6 Sn 2.55-2.73
Co 0.1682 0.8318 0.8020  6 Sn 2.55-2.73
Co 0.8318 0.1682 0.1980  6 Sn 2.55-2.73
Co 0.6636 0.8318 0.8020  6 Sn 2.55-2.73
Co 0.3364 0.1682 0.1980  6 Sn 2.55-2.73
Sn 0.6532 0.6532 0.0000  2 Co 2.55
Sn 0.3468 0.3468 0.0000  2 Co 2.55
Sn 0.0000 0.3468 0.0000  2 Co 2.55
Sn 0.0000 0.6532 0.0000  2 Co 2.55
Sn 0.3468 0.0000 0.0000  2 Co 2.55
Sn 0.6532 0.0000 0.0000  2 Co 2.55
Sn 0.6667 0.3333 0.1813  3 Co 2.73, 1 Sn 2.89
Sn 0.3333 0.6667 0.8187  3 Co 2.73, 1 Sn 2.89
Sn 0.0000 0.0000 0.5000  6 Sn 2.94
Sn 0.2176 0.4352 0.5468  1 Co 2.63
Sn 0.7824 0.5648 0.4532  1 Co 2.63
Sn 0.2176 0.7824 0.5468  1 Co 2.63
Sn 0.7824 0.2176 0.4532  1 Co 2.63
Sn 0.5648 0.7824 0.5468  1 Co 2.63
Sn 0.4352 0.2176 0.4532  1 Co 2.63
Sn 0.6667 0.3333 0.8854  1 Sn 2.89, 3 Dy 3.04
Sn 0.3333 0.6667 0.1146  1 Sn 2.89, 3 Dy 3.04
Sn 0.8825 0.7651 0.7263  2 Co 2.58
Sn 0.1175 0.2349 0.2737  2 Co 2.58
Sn 0.8825 0.1175 0.7263  2 Co 2.58
Sn 0.1175 0.8825 0.2737  2 Co 2.58
Sn 0.2349 0.1175 0.7263  2 Co 2.58
Sn 0.7651 0.8825 0.2737  2 Co 2.58

Computed properties:
As for the space group: P-3m1. As for the total energy: -35.52 eV/atom. The calculation puts the formation energy at -0.397 eV/atom. As for the total magnetization: 0.00 Bohr magnetons per cell.


Question: Which of these has the highest total magnetization?
Answer: Co2TcAs


Question: What is the total magnetization in the first record?
Answer: 0.00 Bohr magnetons per cell